(1)
Na8B13C3 | Alexandria via LeMat-Bulk | PBE | relaxed; offset from the most stable computed form = 46.2 meV/atom; symmetry = Pmm2 (25)
1.0
5.076 0.000 0.000
0.000 5.936 0.000
0.000 0.000 8.594
Na C B
8 3 13
Cartesian
0.002 5.932 0.025
0.002 5.932 4.272
2.533 1.484 0.023
2.533 1.484 4.274
0.002 2.972 0.025
0.002 2.972 4.272
2.543 4.452 8.592
2.543 4.452 4.299
1.701 2.999 2.148
4.217 4.452 2.148
1.701 5.905 2.148
0.878 1.484 6.445
4.252 1.484 2.148
0.921 1.484 2.148
4.199 1.484 6.445
3.412 2.970 6.445
3.337 3.045 2.148
1.664 2.968 6.445
0.876 4.452 6.445
0.828 4.452 2.148
4.200 4.452 6.445
3.412 5.934 6.445
3.337 5.859 2.148
1.664 0.000 6.445

(2)
Mn2InCo | Alexandria via LeMat-Bulk | PBE | relaxed; symmetry = Cm (8)
1.0
5.097 0.026 0.344
4.123 2.997 0.344
1.567 0.513 4.019
Co In Mn
1 1 2
Cartesian
5.501 1.803 2.306
8.196 2.687 3.482
9.174 3.007 0.710
2.529 0.829 1.248

(3)
Ac11In9Pt4 | Alexandria via LeMat-Bulk | PBE | relaxed; symmetry = Cmmm (65)
1.0
-3.303 -1.250 2.036
-7.299 -0.485 -12.137
6.506 -12.212 3.058
Ac In Pt
11 9 4
Cartesian
1.755 -11.554 -4.246
-2.547 -1.143 -4.834
-2.948 -7.559 -9.422
2.156 -5.138 0.343
-2.135 -4.871 -6.454
1.343 -7.826 -2.625
-5.066 -2.382 -9.679
4.273 -10.315 0.600
0.000 0.000 0.000
-0.547 -8.761 -6.265
-0.246 -3.936 -2.814
-5.243 -2.917 -6.215
1.147 -11.029 -0.829
1.306 -8.481 0.994
-5.402 -5.466 -8.037
-1.361 -12.274 -5.662
-2.734 -1.673 -1.381
-3.293 -10.633 -7.788
-0.802 -3.314 0.745
-2.048 -6.973 -3.522
-0.798 -10.092 -3.409
-3.297 -3.855 -3.634
-3.541 -7.761 -6.428
-0.554 -6.185 -0.615

The records above yield volume values of 10.79 14.80 31.38 A^3/atom, respectively.
The records above yield energy values of -119.6 -27.3 -110.8 eV per cell, respectively.
The records above yield formation energy values of 0.228 0.213 -0.699 eV per atom, respectively.